# 1
A geometry-optimized Rb2CeGe2Se6 structure, computed with PBE-GGA.

abc: 11.5692 7.7262 8.8957
angles: 90.00 107.32 90.00
With the nearest neighbours (Å) after each atom.
Space group C2/m (No. 12)
Asymmetric unit:
Rb (0.1926, 0.0000, 0.1322)  7 Se 3.49-3.73
Ce (0.0000, 0.0000, 0.5000)  6 Se 2.76-2.96
Ge (0.0385, 0.5000, 0.3810)  3 Se 2.38-2.39, 1 Ge 2.53
Se (0.0399, 0.2452, 0.7658)  1 Ge 2.39
Se (0.2458, 0.0000, 0.5394)  1 Ge 2.38

Density of states at the Fermi level (states/eV per atom): 0.020
Raw total energy (eV per atom): -4.34
Crystal system: monoclinic
Total magnetization (Bohr magnetons per cell): 0.253
Formation energy without anion corrections (eV/atom): -0.89

=====

# 2
A geometry-optimized Rb3Ce3GeSe8 structure, computed with PBE-GGA.

abc: 8.5724 8.5724 24.0661
angles: 90.00 90.00 120.00
With the nearest neighbours (Å) after each atom.
Space group R-3m (No. 166, hexagonal axes)
Asymmetric unit:
Rb (0.0000, 0.5000, 0.0000)  6 Se 3.46-3.53
Ce (0.0000, 0.5000, 0.5000)  6 Se 2.89-2.94
Ge (0.0000, 0.0000, 0.5000)  6 Se 2.88
Se (0.0000, 0.0000, 0.2330)  3 Ce 2.94
Se (0.0010, 0.5005, 0.2287)  1 Ge 2.88, 2 Ce 2.89

Density of states at the Fermi level (states/eV per atom): 0.717
Raw total energy (eV per atom): -4.96
Crystal system: trigonal
Total magnetization (Bohr magnetons per cell): 3.320
Formation energy without anion corrections (eV/atom): -1.42

=====

# 3
A geometry-optimized CeReGe structure, computed with PBE-GGA.

abc: 4.3882 4.3882 3.7305
angles: 90.00 90.00 120.00
With the nearest neighbours (Å) after each atom.
Space group P-6m2 (No. 187)
Asymmetric unit:
Ce (0.0000, 0.0000, 0.0000)  6 Ge 3.15, 6 Re 3.15
Re (0.6667, 0.3333, 0.5000)  3 Ge 2.53
Ge (0.3333, 0.6667, 0.5000)  3 Re 2.53

Density of states at the Fermi level (states/eV per atom): 1.370
Raw total energy (eV per atom): -7.83
Crystal system: hexagonal
Total magnetization (Bohr magnetons per cell): 0.000
E_form (eV/atom): -0.17

=====

# 4
A geometry-optimized CeReGe structure, computed with PBE-GGA.

abc: 3.1161 19.3300 4.1428
angles: 90.00 90.00 90.00
With the nearest neighbours (Å) after each atom.
Space group Cmcm (No. 63)
Asymmetric unit:
Ce (0.0000, 0.1206, 0.2500)  1 Re 2.74, 4 Ge 3.05
Re (0.0000, 0.2623, 0.2500)  4 Re 2.64, 1 Ce 2.74
Ge (0.0000, 0.4623, 0.2500)  2 Ge 2.53

Density of states at the Fermi level (states/eV per atom): 1.271
Raw total energy (eV per atom): -7.71
Crystal system: orthorhombic
Total magnetization (Bohr magnetons per cell): 0.810
E_form (eV/atom): -0.05

=====

# 5
A geometry-optimized Ce4ReGe8 structure, computed with PBE-GGA.

abc: 4.0905 4.2092 16.5054
angles: 90.00 90.00 90.00
With the nearest neighbours (Å) after each atom.
Space group Pmm2 (No. 25)
Asymmetric unit:
Ce (0.0000, 0.0000, 0.0000)  10 Ge 3.04-3.19
Ce (0.0000, 0.5000, 0.4849)  10 Ge 2.98-3.32
Ce (0.5000, 0.0000, 0.7780)  4 Re 3.17, 8 Ge 3.19-3.40
Ce (0.5000, 0.5000, 0.2793)  10 Ge 3.05-3.27
Re (0.0000, 0.5000, 0.7048)  5 Ge 2.47-2.55
Ge (0.0000, 0.0000, 0.3290)  2 Ge 2.65
Ge (0.0000, 0.0000, 0.6172)  2 Re 2.55
Ge (0.0000, 0.5000, 0.1389)  4 Ge 2.93, 4 Ce 3.09-3.11
Ge (0.0000, 0.5000, 0.8544)  1 Re 2.47, 2 Ge 2.60
Ge (0.5000, 0.0000, 0.1412)  4 Ge 2.93, 4 Ce 3.10
Ge (0.5000, 0.0000, 0.4308)  2 Ge 2.65
Ge (0.5000, 0.5000, 0.6160)  2 Re 2.52
Ge (0.5000, 0.5000, 0.9515)  2 Ge 2.60

Density of states at the Fermi level (states/eV per atom): 1.065
Raw total energy (eV per atom): -6.12
Crystal system: orthorhombic
Total magnetization (Bohr magnetons per cell): 0.073
E_form (eV/atom): -0.49

=====

# 6
A geometry-optimized CeRe2SiGe2 structure, computed with PBE-GGA.

abc: 4.5318 4.5318 5.5642
angles: 90.00 90.00 90.00
With the nearest neighbours (Å) after each atom.
Space group P4/mmm (No. 123)
Asymmetric unit:
Ce (0.0000, 0.0000, 0.0000)  2 Si 2.78
Re (0.0000, 0.5000, 0.5000)  2 Si 2.27
Si (0.0000, 0.0000, 0.5000)  4 Re 2.27
Ge (0.5000, 0.5000, 0.2306)  1 Ge 2.57, 4 Re 2.72

Density of states at the Fermi level (states/eV per atom): 1.557
Raw total energy (eV per atom): -7.58
Crystal system: tetragonal
Total magnetization (Bohr magnetons per cell): 0.922
Formation energy without anion corrections (eV/atom): 0.00

=====

Question: Which value of raw total energy does entry 5 give?
Answer: -6.12 eV per atom